1.
Here is a relaxed Tm5Cd crystal from Alexandria via LeMat-Bulk. Energies are from PBE.

**Total energy**: -23.79 eV per formula unit
**Offset from the most stable computed form**: 0 meV per atom
**ΔE_f**: -86 meV per atom

a = 3.4981 Å, b = 3.4981 Å, c = 14.0057 Å
α = 90.00°, β = 90.00°, γ = 90.00°
Atoms (fractional coordinates):
Tm 0.0000 0.0000 0.0000
Tm 0.0000 0.0000 0.3508
Tm 0.0000 0.0000 0.6492
Tm 0.5000 0.5000 0.1750
Tm 0.5000 0.5000 0.8250
Cd 0.5000 0.5000 0.5000

2.
Here is a relaxed TmCd4 crystal from Alexandria via LeMat-Bulk. Energies are from PBE.

**Total energy**: -9.05 eV per formula unit
**Offset from the most stable computed form**: 0 meV per atom
**ΔE_f**: -183 meV per atom

a = 8.4446 Å, b = 8.4446 Å, c = 8.4446 Å
α = 146.76°, β = 134.54°, γ = 57.47°
Atoms (fractional coordinates):
Tm 0.3545 0.1045 0.2500
Tm 0.6455 0.8955 0.7500
Cd 0.0000 0.5000 0.5000
Cd 0.1382 0.8882 0.2500
Cd 0.2036 0.6976 0.5059
Cd 0.3083 0.3024 0.0059
Cd 0.5000 0.5000 0.0000
Cd 0.6917 0.6976 0.9941
Cd 0.7964 0.3024 0.4941
Cd 0.8618 0.1118 0.7500

3.
Here is a relaxed Tm4Cd crystal from Alexandria via LeMat-Bulk. Energies are from PBE.

**Total energy**: -18.60 eV per formula unit
**Offset from the most stable computed form**: 37 meV per atom
**ΔE_f**: 41 meV per atom

a = 9.2898 Å, b = 9.2898 Å, c = 5.9678 Å
α = 101.67°, β = 101.67°, γ = 137.22°
Atoms (fractional coordinates):
Tm 0.0541 0.4757 0.7645
Tm 0.0947 0.2636 0.1283
Tm 0.2636 0.0947 0.6283
Tm 0.4757 0.0541 0.2645
Tm 0.5243 0.9459 0.7355
Tm 0.7364 0.9053 0.3717
Tm 0.9053 0.7364 0.8717
Tm 0.9459 0.5243 0.2355
Cd 0.4415 0.5585 0.7500
Cd 0.5585 0.4415 0.2500

4.
Here is a relaxed TmCd4 crystal from Alexandria via LeMat-Bulk. Energies are from PBE.

**Total energy**: -4.86 eV per formula unit
**Offset from the most stable computed form**: 837 meV per atom
**ΔE_f**: 654 meV per atom

a = 5.9423 Å, b = 5.9423 Å, c = 5.9423 Å
α = 90.00°, β = 90.00°, γ = 90.00°
Atoms (fractional coordinates):
Tm 0.0000 0.0000 0.0000
Cd 0.0000 0.0000 0.5000
Cd 0.0000 0.5000 0.0000
Cd 0.5000 0.0000 0.0000
Cd 0.5000 0.5000 0.5000

5.
Here is a relaxed Tm3Cd5 crystal from Alexandria via LeMat-Bulk. Energies are from PBE.

**Total energy**: -20.14 eV per formula unit
**ΔE_f**: -269 meV per atom

a = 7.5315 Å, b = 10.2681 Å, c = 5.0309 Å
α = 90.00°, β = 90.00°, γ = 90.00°
Atoms (fractional coordinates):
Tm 0.0000 0.0000 0.0000
Tm 0.0000 0.2628 0.5000
Tm 0.0000 0.7372 0.5000
Tm 0.5000 0.2372 0.5000
Tm 0.5000 0.5000 0.0000
Tm 0.5000 0.7628 0.5000
Cd 0.0000 0.5000 0.0000
Cd 0.2454 0.0000 0.5000
Cd 0.2500 0.2500 0.0000
Cd 0.2500 0.7500 0.0000
Cd 0.2546 0.5000 0.5000
Cd 0.5000 0.0000 0.0000
Cd 0.7454 0.5000 0.5000
Cd 0.7500 0.2500 0.0000
Cd 0.7500 0.7500 0.0000
Cd 0.7546 0.0000 0.5000

6.
Here is a relaxed TmCd2 crystal from Alexandria via LeMat-Bulk. Energies are from PBE.

**Total energy**: -6.95 eV per formula unit
**ΔE_f**: -216 meV per atom

a = 5.8660 Å, b = 5.8660 Å, c = 5.8660 Å
α = 60.00°, β = 60.00°, γ = 60.00°
Atoms (fractional coordinates):
Tm 0.1250 0.1250 0.1250
Tm 0.8750 0.8750 0.8750
Cd 0.0000 0.5000 0.5000
Cd 0.5000 0.0000 0.5000
Cd 0.5000 0.5000 0.0000
Cd 0.5000 0.5000 0.5000

7.
Here is a relaxed Tm4Cd crystal from Alexandria via LeMat-Bulk. Energies are from PBE.

**Total energy**: -18.78 eV per formula unit
**Offset from the most stable computed form**: 0 meV per atom
**ΔE_f**: 3 meV per atom

a = 9.1226 Å, b = 9.1226 Å, c = 9.1226 Å
α = 147.02°, β = 137.14°, γ = 55.11°
Atoms (fractional coordinates):
Tm 0.0000 0.0000 0.0000
Tm 0.1444 0.3944 0.7500
Tm 0.1994 0.1962 0.0032
Tm 0.3070 0.8038 0.5032
Tm 0.5000 0.0000 0.5000
Tm 0.6930 0.1962 0.4968
Tm 0.8006 0.8038 0.9968
Tm 0.8556 0.6056 0.2500
Cd 0.3620 0.6120 0.7500
Cd 0.6380 0.3880 0.2500

8.
Here is a relaxed TmVCd crystal from Alexandria via LeMat-Bulk. Energies are from PBE.

**Total energy**: -13.86 eV per formula unit
**ΔE_f**: 216 meV per atom

a = 14.4662 Å, b = 14.4662 Å, c = 14.4662 Å
α = 12.85°, β = 12.85°, γ = 12.85°
Atoms (fractional coordinates):
Tm 0.0934 0.0934 0.0934
Tm 0.9066 0.9066 0.9066
V 0.1850 0.1850 0.1850
V 0.8150 0.8150 0.8150
Cd 0.3037 0.3037 0.3037
Cd 0.6963 0.6963 0.6963

9.
Here is a relaxed Y2TmCd crystal from Alexandria via LeMat-Bulk. Energies are from PBE.

**Total energy**: -18.91 eV per formula unit
**Offset from the most stable computed form**: 0 meV per atom
**ΔE_f**: -149 meV per atom

a = 3.5856 Å, b = 3.5856 Å, c = 9.0223 Å
α = 90.00°, β = 90.00°, γ = 90.00°
Atoms (fractional coordinates):
Y 0.0000 0.0000 0.2292
Y 0.0000 0.0000 0.7708
Tm 0.5000 0.5000 0.5000
Cd 0.5000 0.5000 0.0000

10.
Here is a relaxed Y2Tm3Cd2 crystal from Alexandria via LeMat-Bulk. Energies are from PBE.

**Total energy**: -28.40 eV per formula unit
**Offset from the most stable computed form**: 124 meV per atom
**ΔE_f**: -32 meV per atom

a = 5.0751 Å, b = 22.5497 Å, c = 3.4301 Å
α = 90.00°, β = 90.00°, γ = 90.00°
Atoms (fractional coordinates):
Y 0.0000 0.2102 0.0000
Y 0.0000 0.7898 0.0000
Y 0.5000 0.2898 0.0000
Y 0.5000 0.7102 0.0000
Tm 0.0000 0.3539 0.5000
Tm 0.0000 0.5000 0.5000
Tm 0.0000 0.6461 0.5000
Tm 0.5000 0.0000 0.5000
Tm 0.5000 0.1461 0.5000
Tm 0.5000 0.8539 0.5000
Cd 0.0000 0.0683 0.0000
Cd 0.0000 0.9317 0.0000
Cd 0.5000 0.4317 0.0000
Cd 0.5000 0.5683 0.0000

11.
Here is a relaxed YTmCd6 crystal from Alexandria via LeMat-Bulk. Energies are from PBE.

**Total energy**: -18.62 eV per formula unit
**ΔE_f**: -275 meV per atom

a = 4.8709 Å, b = 7.1519 Å, c = 10.8273 Å
α = 90.00°, β = 90.00°, γ = 90.00°
Atoms (fractional coordinates):
Y 0.0000 0.0000 0.0000
Y 0.0000 0.5000 0.5000
Tm 0.5000 0.0000 0.7317
Tm 0.5000 0.5000 0.2317
Cd 0.0000 0.0000 0.5423
Cd 0.0000 0.2179 0.2706
Cd 0.0000 0.2821 0.7706
Cd 0.0000 0.5000 0.0423
Cd 0.0000 0.7179 0.7706
Cd 0.0000 0.7821 0.2706
Cd 0.5000 0.0000 0.1917
Cd 0.5000 0.2157 0.4603
Cd 0.5000 0.2843 0.9603
Cd 0.5000 0.5000 0.6917
Cd 0.5000 0.7157 0.9603
Cd 0.5000 0.7843 0.4603

12.
Here is a relaxed YTm5Cd crystal from Alexandria via LeMat-Bulk. Energies are from PBE.

**Total energy**: -29.56 eV per formula unit
**ΔE_f**: 25 meV per atom

a = 8.4059 Å, b = 8.4059 Å, c = 6.2439 Å
α = 102.50°, β = 102.50°, γ = 96.52°
Atoms (fractional coordinates):
Y 0.0700 0.9300 0.7500
Y 0.9300 0.0700 0.2500
Tm 0.1591 0.5135 0.6870
Tm 0.1765 0.3419 0.1186
Tm 0.2218 0.7782 0.2500
Tm 0.3419 0.1765 0.6186
Tm 0.4865 0.8409 0.8130
Tm 0.5135 0.1591 0.1870
Tm 0.6581 0.8235 0.3814
Tm 0.7782 0.2218 0.7500
Tm 0.8235 0.6581 0.8814
Tm 0.8409 0.4865 0.3130
Cd 0.5000 0.5000 0.0000
Cd 0.5000 0.5000 0.5000

13.
Here is a relaxed YTm6Cd2 crystal from Alexandria via LeMat-Bulk. Energies are from PBE.

**Total energy**: -36.26 eV per formula unit
**ΔE_f**: -127 meV per atom

a = 6.5029 Å, b = 6.5029 Å, c = 11.7396 Å
α = 108.05°, β = 108.05°, γ = 32.90°
Atoms (fractional coordinates):
Y 0.0000 0.0000 0.0000
Tm 0.0132 0.0132 0.3401
Tm 0.3134 0.3134 0.4183
Tm 0.3145 0.3145 0.1238
Tm 0.6855 0.6855 0.8762
Tm 0.6866 0.6866 0.5817
Tm 0.9868 0.9868 0.6599
Cd 0.3525 0.3525 0.7876
Cd 0.6475 0.6475 0.2124

14.
Here is a relaxed Y3Tm4Cd crystal from Alexandria via LeMat-Bulk. Energies are from PBE.

**Total energy**: -35.42 eV per formula unit
**ΔE_f**: 346 meV per atom

a = 6.0872 Å, b = 8.7523 Å, c = 9.9224 Å
α = 90.00°, β = 90.00°, γ = 90.00°
Atoms (fractional coordinates):
Y 0.0000 0.0000 0.0000
Y 0.0000 0.1899 0.6500
Y 0.0000 0.8101 0.6500
Y 0.5000 0.3101 0.1500
Y 0.5000 0.5000 0.5000
Y 0.5000 0.6899 0.1500
Tm 0.0000 0.3246 0.3319
Tm 0.0000 0.6754 0.3319
Tm 0.2471 0.0000 0.3261
Tm 0.2529 0.5000 0.8261
Tm 0.5000 0.1754 0.8319
Tm 0.5000 0.8246 0.8319
Tm 0.7471 0.5000 0.8261
Tm 0.7529 0.0000 0.3261
Cd 0.0000 0.5000 0.0806
Cd 0.5000 0.0000 0.5806

15.
Here is a relaxed YTm2Cd2 crystal from Alexandria via LeMat-Bulk. Energies are from PBE.

**Total energy**: -17.56 eV per formula unit
**Offset from the most stable computed form**: 201 meV per atom
**ΔE_f**: -65 meV per atom

a = 5.1489 Å, b = 5.1489 Å, c = 6.3185 Å
α = 90.00°, β = 90.00°, γ = 120.00°
Atoms (fractional coordinates):
Y 0.0000 0.0000 0.0000
Tm 0.3333 0.6667 0.6507
Tm 0.6667 0.3333 0.3493
Cd 0.3333 0.6667 0.1599
Cd 0.6667 0.3333 0.8401

16.
Here is a relaxed YTm2Cd8 crystal from Alexandria via LeMat-Bulk. Energies are from PBE.

**Total energy**: -25.14 eV per formula unit
**ΔE_f**: -220 meV per atom

a = 8.8630 Å, b = 8.8630 Å, c = 5.3320 Å
α = 106.60°, β = 106.60°, γ = 125.93°
Atoms (fractional coordinates):
Y 0.0000 0.0000 0.0000
Tm 0.3127 0.6873 0.5000
Tm 0.6873 0.3127 0.5000
Cd 0.1011 0.3635 0.7486
Cd 0.2013 0.7987 0.0000
Cd 0.3635 0.1011 0.7486
Cd 0.4802 0.4802 0.7285
Cd 0.5198 0.5198 0.2715
Cd 0.6365 0.8989 0.2514
Cd 0.7987 0.2013 0.0000
Cd 0.8989 0.6365 0.2514

17.
Here is a relaxed Y4Tm8Cd crystal from Alexandria via LeMat-Bulk. Energies are from PBE.

**Total energy**: -62.52 eV per formula unit
**ΔE_f**: 1 meV per atom

a = 6.2292 Å, b = 6.2292 Å, c = 13.7141 Å
α = 99.03°, β = 99.03°, γ = 48.51°
Atoms (fractional coordinates):
Y 0.0882 0.0882 0.1367
Y 0.3421 0.3421 0.4582
Y 0.6579 0.6579 0.5418
Y 0.9118 0.9118 0.8633
Tm 0.0260 0.0260 0.3771
Tm 0.2269 0.2269 0.9283
Tm 0.2858 0.2858 0.6986
Tm 0.4012 0.4012 0.2125
Tm 0.5988 0.5988 0.7875
Tm 0.7142 0.7142 0.3014
Tm 0.7731 0.7731 0.0717
Tm 0.9740 0.9740 0.6229
Cd 0.5000 0.5000 0.0000

18.
Here is a relaxed Y3Tm6Cd crystal from Alexandria via LeMat-Bulk. Energies are from PBE.

**Total energy**: -46.56 eV per formula unit
**ΔE_f**: 58 meV per atom

a = 10.8351 Å, b = 10.8351 Å, c = 5.9304 Å
α = 90.00°, β = 90.00°, γ = 118.54°
Atoms (fractional coordinates):
Y 0.1127 0.8873 0.5000
Y 0.2271 0.4430 0.0943
Y 0.4430 0.2271 0.5943
Y 0.5570 0.7729 0.0943
Y 0.7729 0.5570 0.5943
Y 0.8873 0.1127 0.0000
Tm 0.0523 0.4777 0.6705
Tm 0.1116 0.2108 0.5301
Tm 0.2108 0.1116 0.0301
Tm 0.2210 0.7790 0.9578
Tm 0.4435 0.5565 0.6036
Tm 0.4777 0.0523 0.1705
Tm 0.5223 0.9477 0.6705
Tm 0.5565 0.4435 0.1036
Tm 0.7790 0.2210 0.4578
Tm 0.7892 0.8884 0.5301
Tm 0.8884 0.7892 0.0301
Tm 0.9477 0.5223 0.1705
Cd 0.2833 0.7167 0.4235
Cd 0.7167 0.2833 0.9235

19.
Here is a relaxed Y6TmCd5 crystal from Alexandria via LeMat-Bulk. Energies are from PBE.

**Total energy**: -50.76 eV per formula unit
**ΔE_f**: -244 meV per atom

a = 9.2898 Å, b = 9.2898 Å, c = 9.2898 Å
α = 147.03°, β = 130.88°, γ = 60.43°
Atoms (fractional coordinates):
Y 0.0741 0.3292 0.7450
Y 0.2331 0.0000 0.2331
Y 0.4158 0.6708 0.7450
Y 0.5842 0.3292 0.2550
Y 0.7669 0.0000 0.7669
Y 0.9259 0.6708 0.2550
Tm 0.5000 0.5000 0.0000
Cd 0.0000 0.5000 0.5000
Cd 0.1680 0.1680 0.0000
Cd 0.3476 0.8476 0.5000
Cd 0.6524 0.1524 0.5000
Cd 0.8320 0.8320 0.0000

20.
Here is a relaxed Y6Tm2Cd crystal from Alexandria via LeMat-Bulk. Energies are from PBE.

**Total energy**: -48.29 eV per formula unit
**ΔE_f**: 39 meV per atom

a = 9.5366 Å, b = 9.5366 Å, c = 9.5366 Å
α = 158.72°, β = 116.12°, γ = 68.16°
Atoms (fractional coordinates):
Y 0.0159 0.1782 0.8377
Y 0.2966 0.5000 0.7966
Y 0.3405 0.1782 0.1623
Y 0.6595 0.8218 0.8377
Y 0.7034 0.5000 0.2034
Y 0.9841 0.8218 0.1623
Tm 0.3474 0.8474 0.5000
Tm 0.6526 0.1526 0.5000
Cd 0.0000 0.0000 0.0000

21.
Here is a relaxed Y5TmCd4 crystal from Alexandria via LeMat-Bulk. Energies are from PBE.

**Total energy**: -43.08 eV per formula unit
**ΔE_f**: -263 meV per atom

a = 3.6943 Å, b = 3.6943 Å, c = 20.2048 Å
α = 90.00°, β = 90.00°, γ = 90.00°
Atoms (fractional coordinates):
Y 0.0000 0.0000 0.0000
Y 0.0000 0.0000 0.1889
Y 0.0000 0.0000 0.3812
Y 0.0000 0.0000 0.6188
Y 0.0000 0.0000 0.8111
Tm 0.5000 0.5000 0.5000
Cd 0.5000 0.5000 0.0949
Cd 0.5000 0.5000 0.2850
Cd 0.5000 0.5000 0.7150
Cd 0.5000 0.5000 0.9051

22.
Here is a relaxed Y8Tm2Cd crystal from Alexandria via LeMat-Bulk. Energies are from PBE.

**Total energy**: -60.46 eV per formula unit
**Offset from the most stable computed form**: 125 meV per atom
**ΔE_f**: 101 meV per atom

a = 9.8312 Å, b = 9.8312 Å, c = 5.6792 Å
α = 91.62°, β = 91.62°, γ = 40.57°
Atoms (fractional coordinates):
Y 0.0495 0.0495 0.2351
Y 0.1095 0.6353 0.2538
Y 0.3222 0.3222 0.7649
Y 0.3647 0.8905 0.7462
Y 0.6353 0.1095 0.2538
Y 0.6778 0.6778 0.2351
Y 0.8905 0.3647 0.7462
Y 0.9505 0.9505 0.7649
Tm 0.2186 0.2186 0.2587
Tm 0.7814 0.7814 0.7413
Cd 0.5000 0.5000 0.0000

23.
Here is a relaxed YTm2Cd4 crystal from Alexandria via LeMat-Bulk. Energies are from PBE.

**Total energy**: -20.12 eV per formula unit
**ΔE_f**: -150 meV per atom

a = 5.2793 Å, b = 5.2793 Å, c = 13.7848 Å
α = 90.00°, β = 90.00°, γ = 90.00°
Atoms (fractional coordinates):
Y 0.0000 0.0000 0.0000
Y 0.5000 0.5000 0.5000
Tm 0.0000 0.0000 0.2576
Tm 0.0000 0.0000 0.7424
Tm 0.5000 0.5000 0.2424
Tm 0.5000 0.5000 0.7576
Cd 0.0000 0.5000 0.1176
Cd 0.0000 0.5000 0.3824
Cd 0.0000 0.5000 0.6176
Cd 0.0000 0.5000 0.8824
Cd 0.5000 0.0000 0.1176
Cd 0.5000 0.0000 0.3824
Cd 0.5000 0.0000 0.6176
Cd 0.5000 0.0000 0.8824